[1]
# GGA-PBE TlBrF2, optimized geometry
data_TlBrF2
_chemical_formula_sum 'Tl4 Br4 F8'
_cell_length_a 5.8261
_cell_length_b 5.6961
_cell_length_c 11.3605
_cell_angle_alpha 90.00
_cell_angle_beta 90.00
_cell_angle_gamma 90.00
_space_group_name_H-M_alt 'P n n a'
_space_group_IT_number 52
loop_
_space_group_symop_operation_xyz
'x,y,z'
'-x,-y,-z'
'-x+1/2,-y,z'
'x+1/2,y,-z'
'x,-y+1/2,-z+1/2'
'-x,y+1/2,z+1/2'
'-x+1/2,y+1/2,-z+1/2'
'x+1/2,-y+1/2,z+1/2'
loop_
_atom_site_label
_atom_site_fract_x
_atom_site_fract_y
_atom_site_fract_z
_atom_site_occupancy
Tl1 0.2500 0.0000 0.0916 1
Br1 0.0000 0.2500 0.2500 1
F1 0.0714 0.2020 0.9470 1
# E above lowest polymorph in meV/atom: 0
# Raw formation energy in kJ/mol of atoms: -129.2
# Volume in Å³/cell: 377



[2]
# GGA-PBE SbAsHPb2, optimized geometry
data_SbAsHPb2
_chemical_formula_sum 'Sb1 As1 H1 Pb2'
_cell_length_a 6.0243
_cell_length_b 6.0243
_cell_length_c 3.4412
_cell_angle_alpha 90.00
_cell_angle_beta 90.00
_cell_angle_gamma 90.00
_space_group_name_H-M_alt 'P 4/m m m'
_space_group_IT_number 123
_space_group_name_Hall '-P 4 2'
loop_
_atom_site_label
_atom_site_fract_x
_atom_site_fract_y
_atom_site_fract_z
_atom_site_occupancy
Sb1 0.0000 0.0000 0.0000 1
As1 0.5000 0.5000 0.5000 1
H1 0.5000 0.5000 0.0000 1
Pb1 0.0000 0.5000 0.5000 1
# Volume in Å³/cell: 125
# D(E_F) in states/eV per cell: 3.88



[3]
# GGA-PBE NiMo2P, optimized geometry
data_NiMo2P
_chemical_formula_sum 'Ni1 Mo2 P1'
_cell_length_a 2.8334
_cell_length_b 3.7029
_cell_length_c 5.3939
_cell_angle_alpha 90.00
_cell_angle_beta 103.14
_cell_angle_gamma 90.00
_space_group_name_H-M_alt 'P 1 2/m 1'
_space_group_IT_number 10
loop_
_space_group_symop_operation_xyz
'x,y,z'
'-x,-y,-z'
'-x,y,-z'
'x,-y,z'
loop_
_atom_site_label
_atom_site_fract_x
_atom_site_fract_y
_atom_site_fract_z
_atom_site_occupancy
Ni1 0.0000 0.0000 0.0000 1
Mo1 0.4262 0.5000 0.7443 1
P1 0.0000 0.0000 0.5000 1
# Volume in Å³/cell: 55
# D(E_F) in states/eV per cell: 2.90



Per-record size of the total moment, μB per atom: 0.00, 0.00, 0.00
Per-record calculated total energy, eV for the cell shown: -52.55, -18.72, -33.08